Computed, not measured: a relaxed structure of ZnB at the GGA-PBE level of DFT.

Properties
* electronic total energy: -6.71 eV/f.u.
* theoretical density: 4182 kg/m³
* M_tot: 0.0 Bohr magnetons per cell

Structure (POSCAR):
```
ZnB
1.0
0.0000 4.7728 6.0135
2.1092 0.0000 6.0135
2.1092 4.7728 0.0000
Zn B
4 4
direct
0.0498 0.0498 0.7002
0.2998 0.2998 0.9502
0.7002 0.7002 0.0498
0.9502 0.9502 0.2998
0.0443 0.2057 0.0443
0.2057 0.0443 0.2057
0.7943 0.9557 0.7943
0.9557 0.7943 0.9557
```

=====

Computed, not measured: a relaxed structure of ZnB at the GGA-PBE level of DFT.

Properties
* electronic total energy: -5.79 eV/f.u.
* theoretical density: 4691 kg/m³
* M_tot: 0.0 Bohr magnetons per cell

Structure (POSCAR):
```
ZnB
1.0
3.8488 0.0000 0.0000
-1.9244 3.3332 0.0000
0.0000 0.0000 4.2063
Zn B
2 2
direct
0.3333 0.6667 0.2500
0.6667 0.3333 0.7500
0.3333 0.6667 0.7500
0.6667 0.3333 0.2500
```

=====

Computed, not measured: a relaxed structure of ZnB at the GGA-PBE level of DFT.

Properties
* electronic total energy: -7.31 eV/f.u.
* theoretical density: 4878 kg/m³
* M_tot: 0.0 Bohr magnetons per cell

Structure (POSCAR):
```
ZnB
1.0
3.6528 0.0000 0.0000
0.0000 4.8343 0.0000
-0.9779 0.0000 2.9385
Zn B
2 2
direct
0.0000 0.2148 0.2500
0.0000 0.7852 0.7500
0.5000 0.4732 0.7500
0.5000 0.5268 0.2500
```

=====

Computed, not measured: a relaxed structure of Zr2ZnB2 at the GGA-PBE level of DFT.

Properties
* electronic total energy: -34.60 eV/f.u.
* theoretical density: 6561 kg/m³
* M_tot: 0.0 Bohr magnetons per cell

Structure (POSCAR):
```
Zr2ZnB2
1.0
6.3000 0.0000 0.0000
0.0000 6.3000 0.0000
0.0000 0.0000 3.4368
Zr Zn B
4 2 4
direct
0.1828 0.3172 0.0000
0.3172 0.8172 0.0000
0.6828 0.1828 0.0000
0.8172 0.6828 0.0000
0.0000 0.0000 0.5000
0.5000 0.5000 0.5000
0.0972 0.5972 0.5000
0.4028 0.0972 0.5000
0.5972 0.9028 0.5000
0.9028 0.4028 0.5000
```

=====

Computed, not measured: a relaxed structure of ZrZn2B2 at the GGA-PBE level of DFT.

Properties
* ΔE to the lowest computed polymorph: 0 meV per atom
* theoretical density: 6520 kg/m³
* M_tot: 0.0 Bohr magnetons per cell

Structure (POSCAR):
```
ZrZn2B2
1.0
-1.9185 1.9185 4.2152
1.9185 -1.9185 4.2152
1.9185 1.9185 -4.2152
Zr Zn B
1 2 2
direct
0.0000 0.0000 0.0000
0.3595 0.3595 0.0000
0.6405 0.6405 0.0000
0.2500 0.7500 0.5000
0.7500 0.2500 0.5000
```

=====

Computed, not measured: a relaxed structure of ZrZnB2 at the GGA-PBE level of DFT.

Properties
* electronic total energy: -21.82 eV/f.u.
* theoretical density: 5690 kg/m³
* M_tot: 0.0 Bohr magnetons per cell

Structure (POSCAR):
```
ZrZnB2
1.0
-1.9199 1.9199 7.0569
1.9199 -1.9199 7.0569
1.9199 1.9199 -7.0569
Zr Zn B
2 2 4
direct
0.3750 0.6250 0.7500
0.6250 0.3750 0.2500
0.1250 0.8750 0.2500
0.8750 0.1250 0.7500
0.0000 0.0000 0.0000
0.0000 0.0000 0.5000
0.0000 0.5000 0.0000
0.5000 0.0000 0.5000
```

=====

Computed, not measured: a relaxed structure of ZrZnB at the GGA-PBE level of DFT.

Properties
* electronic total energy: -17.46 eV/f.u.
* theoretical density: 6123 kg/m³
* M_tot: 0.0 Bohr magnetons per cell

Structure (POSCAR):
```
ZrZnB
1.0
4.0838 -1.7800 0.0000
4.0838 1.7800 0.0000
-1.4289 0.0000 6.2472
Zr Zn B
2 2 2
direct
0.1088 0.1088 0.3223
0.8912 0.8912 0.6777
0.3614 0.3614 0.0624
0.6386 0.6386 0.9376
0.4079 0.4079 0.4198
0.5921 0.5921 0.5802
```

=====

Computed, not measured: a relaxed structure of ZrZnB3 at the GGA-PBE level of DFT.

Properties
* ΔE to the lowest computed polymorph: 0 meV per atom
* theoretical density: 5072 kg/m³
* M_tot: 0.0 Bohr magnetons per cell

Structure (POSCAR):
```
ZrZnB3
1.0
3.9558 0.0000 0.0000
0.0000 3.9558 0.0000
0.0000 0.0000 3.9558
Zr Zn B
1 1 3
direct
0.0000 0.0000 0.0000
0.5000 0.5000 0.5000
0.0000 0.5000 0.5000
0.5000 0.0000 0.5000
0.5000 0.5000 0.0000
```